(1)
! CaSe7 (PBE, optimized geometry); values from VASP
! Symmetry ... Fm-3m
! ΔE_f (raw) ... 0.085 eV/atom
! Crystal system ... cubic
&SYSTEM
  ibrav = 0, nat = 8, ntyp = 2
/
ATOMIC_SPECIES
Ca 40.08 Ca.upf
Se 78.96 Se.upf
CELL_PARAMETERS angstrom
0.0000 4.4089 4.4089
4.4089 0.0000 4.4089
4.4089 4.4089 0.0000
ATOMIC_POSITIONS crystal
Ca 0.0000 0.0000 0.0000
Se 0.0000 0.0000 0.5000
Se 0.0000 0.5000 0.0000
Se 0.0000 0.5000 0.5000
Se 0.5000 0.0000 0.0000
Se 0.5000 0.0000 0.5000
Se 0.5000 0.5000 0.0000
Se 0.5000 0.5000 0.5000

=====

(2)
! Tm7Sn5Bi (PBE, optimized geometry); values from VASP
! Symmetry ... Imm2
! ΔE_f ... -0.4494 eV/atom
! Crystal system ... orthorhombic
&SYSTEM
  ibrav = 0, nat = 13, ntyp = 3
/
ATOMIC_SPECIES
Tm 168.93 Tm.upf
Sn 118.71 Sn.upf
Bi 208.98 Bi.upf
CELL_PARAMETERS angstrom
-3.0842 5.5929 5.2347
3.0842 -5.5929 5.2347
3.0842 5.5929 -5.2347
ATOMIC_POSITIONS crystal
Tm 0.0000 0.0000 0.0000
Tm 0.2761 0.6106 0.6656
Tm 0.3867 0.3867 0.0000
Tm 0.4348 0.0982 0.3365
Tm 0.7617 0.0982 0.6635
Tm 0.8507 0.3507 0.5000
Tm 0.9450 0.6106 0.3344
Sn 0.1000 0.1072 0.4951
Sn 0.1000 0.6049 0.9928
Sn 0.3532 0.8532 0.5000
Sn 0.6121 0.1072 0.0072
Sn 0.6121 0.6049 0.5049
Bi 0.6789 0.6789 0.0000

=====

Number 1: total magnetization 0.00 μB/cell. Number 2: total magnetization 0.00 μB/cell.